No. 1
Entry from Alexandria via LeMat-Bulk: a geometry-optimized BaHo4ErSe8 structure (PBE).

Results
formation energy without anion corrections = -40.61 kcal/mol of atoms
N(E_F) = 3.823 states/eV per cell

The structure in POSCAR format:
```
BaHo4ErSe8
1.0
4.2879 2.4756 6.9905
-4.2879 2.4756 6.9905
0.0000 -4.9512 6.9905
Ba Ho Er Se
1 4 1 8
Cartesian
0.0000 0.0000 0.0000 Ba
-2.1727 -1.2544 9.5950 Ho
0.0000 0.0000 5.2359 Ho
2.1727 -1.2544 9.5950 Ho
0.0000 2.5088 9.5950 Ho
0.0000 0.0000 13.1372 Er
0.0000 0.0000 8.0086 Se
0.0000 -2.3278 11.3108 Se
-2.0159 1.1639 11.3108 Se
-1.8385 -1.0614 14.9647 Se
2.0159 1.1639 11.3108 Se
1.8385 -1.0614 14.9647 Se
0.0000 2.1229 14.9647 Se
0.0000 0.0000 17.9781 Se
```

No. 2
Entry from Alexandria via LeMat-Bulk: a geometry-optimized BaSr2Ga3 structure (PBE).

Results
energy of formation = -296 meV/atom
N(E_F) = 11.758 states/eV per cell

The structure in POSCAR format:
```
BaSr2Ga3
1.0
8.2614 -4.7404 0.0000
8.2614 4.7404 0.0000
0.0000 0.0000 5.3072
Ba Sr Ga
2 4 6
Cartesian
8.2614 3.2147 3.9804 Ba
8.2614 -3.2147 1.3268 Ba
5.5341 1.5943 1.3268 Sr
10.9886 1.5943 1.3268 Sr
5.5341 -1.5943 3.9804 Sr
10.9886 -1.5943 3.9804 Sr
2.8669 0.0000 0.0000 Ga
2.8669 0.0000 2.6536 Ga
8.2614 0.0000 0.0000 Ga
8.2614 0.0000 2.6536 Ga
13.6558 0.0000 0.0000 Ga
13.6558 0.0000 2.6536 Ga
```

No. 3
Entry from Alexandria via LeMat-Bulk: a geometry-optimized BaBr5 structure (PBE).

Results
polymorph energy (0 for the lowest one) = 0.338 eV/atom
formation energy without anion corrections = -14.98 kcal/mol of atoms
N(E_F) = 5.490 states/eV per cell

The structure in POSCAR format:
```
BaBr5
1.0
0.0000 4.4984 4.4984
4.4984 0.0000 4.4984
4.4984 4.4984 0.0000
Ba Br
1 5
Cartesian
0.0000 0.0000 0.0000 Ba
3.3747 3.3747 3.3747 Br
5.6222 5.6222 3.3747 Br
5.6222 3.3747 5.6222 Br
6.7477 6.7477 6.7477 Br
3.3747 5.6222 5.6222 Br
```

No. 4
Entry from Alexandria via LeMat-Bulk: a geometry-optimized PrSmPd2 structure (PBE).

Results
polymorph energy (0 for the lowest one) = 0.136 eV/atom
energy of formation = -678 meV/atom
N(E_F) = 2.388 states/eV per cell

The structure in POSCAR format:
```
PrSmPd2
1.0
2.1033 1.2144 6.8427
-2.1033 1.2144 6.8427
0.0000 -2.4287 6.8427
Pr Sm Pd
1 1 2
Cartesian
0.0000 0.0000 0.0000 Pr
0.0000 0.0000 10.2640 Sm
0.0000 0.0000 5.0826 Pd
0.0000 0.0000 15.4455 Pd
```